(1)
A relaxed Zr4BiTe crystal, computed with PBE.

Summary:
- DOS(E_F) (states/eV per cell) = 11.50
- energy relative to the elements, uncorrected (meV per atom) = -112.1
- total magnetization (μB per formula unit) = 0.0
- space-group type = No. 2

POSCAR file:
```
Zr4BiTe
1.0
-3.3604 4.2376 1.1747
-0.6219 -2.4158 6.9047
7.6707 2.3752 0.3244
Zr Bi Te
8 2 2
direct
0.6600 0.3774 0.6606
0.3400 0.6226 0.3394
0.0003 0.1230 0.3390
0.6822 0.4167 0.1357
0.5456 0.0834 0.8640
0.9997 0.8770 0.6610
0.3178 0.5833 0.8643
0.4544 0.9166 0.1360
0.8797 0.7502 0.9999
0.1203 0.2498 0.0001
0.0000 0.5000 0.5000
0.5000 0.0000 0.5000
```

=====

(2)
A relaxed ZrBiTe3 crystal, computed with PBE.

Summary:
- DOS(E_F) (states/eV per cell) = 6.95
- energy relative to the elements, uncorrected (meV per atom) = -17.6
- total magnetization (μB per formula unit) = 0.0
- relative energy among the computed polymorphs (meV/atom) = 465
- space-group type = No. 221

POSCAR file:
```
ZrBiTe3
1.0
5.5895 0.0000 0.0000
0.0000 5.5895 0.0000
0.0000 0.0000 5.5895
Te Zr Bi
3 1 1
direct
0.5000 0.0000 0.0000
0.0000 0.0000 0.5000
0.0000 0.5000 0.0000
0.0000 0.0000 0.0000
0.5000 0.5000 0.5000
```

=====

(3)
A relaxed ZrBiTe2 crystal, computed with PBE.

Summary:
- DOS(E_F) (states/eV per cell) = 3.12
- energy relative to the elements, uncorrected (meV per atom) = 258.8
- total magnetization (μB per formula unit) = 0.0
- space-group type = No. 166

POSCAR file:
```
ZrBiTe2
1.0
11.2591 -0.0139 -0.0081
10.7197 3.4431 -0.0081
10.7197 1.6725 3.0096
Te Zr Bi
2 1 1
direct
0.0852 0.0852 0.0852
0.9148 0.9148 0.9148
0.0000 0.0000 0.0000
0.5000 0.5000 0.5000
```

=====

(4)
A relaxed Zr2Bi2Te crystal, computed with PBE.

Summary:
- DOS(E_F) (states/eV per cell) = 9.72
- energy relative to the elements, uncorrected (meV per atom) = -339.2
- total magnetization (μB per formula unit) = 0.0
- relative energy among the computed polymorphs (meV/atom) = 61
- space-group type = No. 62

POSCAR file:
```
Zr2Bi2Te
1.0
5.9687 0.0000 0.0000
0.0000 8.1619 0.0000
0.0000 0.0000 12.4337
Bi Zr Te
8 8 4
direct
0.7500 0.6152 0.2488
0.2500 0.8848 0.7488
0.2500 0.3375 0.4330
0.7500 0.6625 0.5670
0.2500 0.8375 0.0670
0.7500 0.1625 0.9330
0.2500 0.3848 0.7512
0.7500 0.1152 0.2512
0.7500 0.3730 0.4200
0.7500 0.3923 0.7430
0.7500 0.8730 0.0800
0.2500 0.6270 0.5800
0.2500 0.6077 0.2570
0.2500 0.1077 0.2430
0.2500 0.1270 0.9200
0.7500 0.8923 0.7570
0.7500 0.6320 0.9127
0.2500 0.8680 0.4127
0.2500 0.3680 0.0873
0.7500 0.1320 0.5873
```

=====

(5)
A relaxed ZrBi3Te crystal, computed with PBE.

Summary:
- DOS(E_F) (states/eV per cell) = 9.45
- energy relative to the elements, uncorrected (meV per atom) = 995.2
- total magnetization (μB per formula unit) = 0.9
- relative energy among the computed polymorphs (meV/atom) = 664
- space-group type = No. 221

POSCAR file:
```
ZrBi3Te
1.0
-5.1424 1.5535 -2.0683
-2.5538 -3.7812 3.5094
-0.4115 4.0527 4.0671
Bi Te Zr
3 1 1
direct
0.0000 0.0000 0.5000
0.0000 0.5000 0.0000
0.5000 0.0000 0.0000
0.0000 0.0000 0.0000
0.5000 0.5000 0.5000
```

=====

(6)
A relaxed Zr2BiTe crystal, computed with PBE.

Summary:
- DOS(E_F) (states/eV per cell) = 2.06
- energy relative to the elements, uncorrected (meV per atom) = -366.2
- total magnetization (μB per formula unit) = 0.0
- relative energy among the computed polymorphs (meV/atom) = 217
- space-group type = No. 166

POSCAR file:
```
Zr2BiTe
1.0
-3.5742 -1.9137 -1.2397
-0.6678 -4.0739 0.9648
-4.4065 -0.1404 5.6718
Bi Te Zr
1 1 2
direct
0.0000 0.0000 0.0000
0.5000 0.5000 0.5000
0.7606 0.7606 0.7181
0.2394 0.2394 0.2819
```

=====

(7)
A relaxed Zr3BiTe crystal, computed with PBE.

Summary:
- DOS(E_F) (states/eV per cell) = 7.33
- energy relative to the elements, uncorrected (meV per atom) = -551.3
- total magnetization (μB per formula unit) = 0.0
- relative energy among the computed polymorphs (meV/atom) = 0
- space-group type = No. 11

POSCAR file:
```
Zr3BiTe
1.0
-1.6927 -3.5029 0.1085
0.6169 -0.0634 7.5760
-7.5831 3.6942 0.9616
Bi Te Zr
2 2 6
direct
0.2500 0.7610 0.8151
0.7500 0.2390 0.1849
0.7500 0.7818 0.3979
0.2500 0.2182 0.6021
0.2500 0.4949 0.3437
0.2500 0.3643 0.9313
0.7500 0.6357 0.0687
0.2500 0.9359 0.1568
0.7500 0.5051 0.6563
0.7500 0.0641 0.8432
```

=====

(8)
A relaxed Zr3BiTe crystal, computed with PBE.

Summary:
- DOS(E_F) (states/eV per cell) = 6.63
- energy relative to the elements, uncorrected (meV per atom) = 913.1
- total magnetization (μB per formula unit) = 4.0
- relative energy among the computed polymorphs (meV/atom) = 1464
- space-group type = No. 221

POSCAR file:
```
Zr3BiTe
1.0
-4.5133 -1.4783 2.7071
-0.7687 -4.1073 -3.5245
2.9872 -3.2906 3.1832
Zr Te Bi
3 1 1
direct
0.5000 0.0000 0.0000
0.0000 0.0000 0.5000
0.0000 0.5000 0.0000
0.5000 0.5000 0.5000
0.0000 0.0000 0.0000
```